No. 1
{"formula": "B5C7", "functional": "PBE", "state": "optimized geometry", "crystal_system": "monoclinic", "relative_energy_mev_per_atom": 85, "m_tot_mub_per_fu": 0.00, "ef_kj_per_mol_atoms": 33.1, "dos_ef_per_ev_cell": 1.05, "lattice_angstrom": [[5.806, -1.305, 0.000], [5.806, 1.305, 0.000], [-1.249, 0.000, 5.267]], "species": ["B", "B", "B", "B", "B", "C", "C", "C", "C", "C", "C", "C"], "frac_coords": [[0.000, 0.000, 0.000], [0.311, 0.311, 0.181], [0.557, 0.557, 0.525], [0.678, 0.678, 0.925], [0.915, 0.915, 0.282], [0.237, 0.237, 0.415], [0.242, 0.242, 0.885], [0.321, 0.321, 0.691], [0.578, 0.578, 0.089], [0.658, 0.658, 0.370], [0.901, 0.901, 0.736], [0.990, 0.990, 0.555]]}

No. 2
{"formula": "TeP2Pt", "functional": "PBE", "state": "optimized geometry", "crystal_system": "orthorhombic", "m_tot_mub_per_fu": 0.00, "dos_ef_per_ev_cell": 1.13, "e_form_raw_mev_per_atom": 309, "lattice_angstrom": [[1.545, -4.318, 0.000], [1.545, 4.318, 0.000], [0.000, 0.000, 9.103]], "species": ["Te", "P", "P", "Pt"], "frac_coords": [[0.000, 0.000, 0.000], [0.000, 0.000, 0.556], [0.500, 0.500, 0.399], [0.500, 0.500, 0.765]]}

No. 3
{"formula": "Be2SnRuBr", "functional": "PBE", "state": "optimized geometry", "crystal_system": "tetragonal", "m_tot_mub_per_fu": 0.00, "dos_ef_per_ev_cell": 2.61, "e_form_raw_mev_per_atom": 451, "lattice_angstrom": [[4.430, 0.000, 0.000], [0.000, 4.430, 0.000], [0.000, 0.000, 5.215]], "species": ["Be", "Be", "Sn", "Ru", "Br"], "frac_coords": [[0.000, 0.500, 0.000], [0.500, 0.000, 0.000], [0.000, 0.000, 0.500], [0.000, 0.000, 0.000], [0.500, 0.500, 0.500]]}

No. 4
{"formula": "Ac3AgIrPt", "functional": "PBE", "state": "optimized geometry", "crystal_system": "monoclinic", "m_tot_mub_per_fu": 0.00, "ef_kj_per_mol_atoms": -52.0, "dos_ef_per_ev_cell": 8.48, "lattice_angstrom": [[8.694, 0.000, 0.000], [0.000, 4.459, 0.000], [-4.183, 0.000, 9.543]], "species": ["Ac", "Ac", "Ac", "Ac", "Ac", "Ac", "Ag", "Ag", "Ir", "Ir", "Pt", "Pt"], "frac_coords": [[0.029, 0.250, 0.359], [0.214, 0.250, 0.979], [0.422, 0.750, 0.635], [0.578, 0.250, 0.365], [0.786, 0.750, 0.021], [0.971, 0.750, 0.641], [0.243, 0.750, 0.246], [0.757, 0.250, 0.754], [0.221, 0.250, 0.680], [0.779, 0.750, 0.320], [0.398, 0.750, 0.910], [0.602, 0.250, 0.090]]}

No. 5
{"formula": "Tb6Hg5Pb", "functional": "PBE", "state": "optimized geometry", "crystal_system": "orthorhombic", "m_tot_mub_per_fu": 1.54, "ef_kj_per_mol_atoms": -46.4, "dos_ef_per_ev_cell": 13.17, "lattice_angstrom": [[-2.658, 3.737, 7.996], [2.658, -3.737, 7.996], [2.658, 3.737, -7.996]], "species": ["Tb", "Tb", "Tb", "Tb", "Tb", "Tb", "Hg", "Hg", "Hg", "Hg", "Hg", "Pb"], "frac_coords": [[0.079, 0.331, 0.748], [0.245, 0.000, 0.245], [0.416, 0.669, 0.748], [0.584, 0.331, 0.252], [0.755, 0.000, 0.755], [0.921, 0.669, 0.252], [0.000, 0.500, 0.500], [0.167, 0.167, 0.000], [0.330, 0.830, 0.500], [0.670, 0.170, 0.500], [0.833, 0.833, 0.000], [0.500, 0.500, 0.000]]}

No. 6
{"formula": "GdHfSi2", "functional": "PBE", "state": "optimized geometry", "crystal_system": "trigonal", "m_tot_mub_per_fu": 7.06, "dos_ef_per_ev_cell": 2.42, "e_form_raw_mev_per_atom": -530, "lattice_angstrom": [[1.944, 1.122, 6.681], [-1.944, 1.122, 6.681], [0.000, -2.244, 6.681]], "species": ["Gd", "Hf", "Si", "Si"], "frac_coords": [[0.000, 0.000, 0.000], [0.500, 0.500, 0.500], [0.242, 0.242, 0.242], [0.758, 0.758, 0.758]]}